No. 1
A relaxed Sm6Si2SeCl3 crystal. Source: the Alexandria database, functional GGA-PBE.

Cell lengths 18.178, 4.191, 8.309 Å; angles 90.00, 102.76, 90.00 degrees
Space group C2/m (No. 12)
One atom of each set of equivalent atoms:
1 Sm 0.010 0.000 0.244 (multiplicity 4)
2 Sm 0.166 0.500 0.105 (multiplicity 4)
3 Sm 0.173 0.500 0.570 (multiplicity 4)
4 Si 0.167 0.000 0.333 (multiplicity 4)
5 Se 0.000 0.500 0.000 (multiplicity 2)
6 Cl 0.000 0.500 0.500 (multiplicity 2)
7 Cl 0.166 0.000 0.834 (multiplicity 4)

The uncorrected formation energy is -15.78 eV per formula unit.

---

No. 2
A relaxed Tb4SiSe2Cl crystal. Source: the Alexandria database, functional GGA-PBE.

Cell lengths 7.074, 4.091, 7.130 Å; angles 90.00, 109.08, 90.00 degrees
Space group P2/m (No. 10)
One atom of each set of equivalent atoms:
1 Tb 0.239 0.000 0.231 (multiplicity 2)
2 Tb 0.253 0.500 0.772 (multiplicity 2)
3 Si 0.000 0.500 0.000 (multiplicity 1)
4 Se 0.500 0.000 0.000 (multiplicity 1)
5 Se 0.500 0.500 0.500 (multiplicity 1)
6 Cl 0.000 0.000 0.500 (multiplicity 1)

The uncorrected formation energy is -11.69 eV per formula unit.

---

No. 3
A relaxed SiTc2SeCl crystal. Source: the Alexandria database, functional GGA-PBE.

Cell lengths 4.622, 4.622, 5.348 Å; angles 90.00, 90.00, 90.00 degrees
Space group P4/mmm (No. 123)
One atom of each set of equivalent atoms:
1 Si 0.000 0.000 0.000 (multiplicity 1)
2 Tc 0.000 0.500 0.500 (multiplicity 2)
3 Se 0.500 0.500 0.500 (multiplicity 1)
4 Cl 0.500 0.500 0.000 (multiplicity 1)

The uncorrected formation energy is 6.94 eV per formula unit.

---

No. 4
A relaxed TlSi2SeCl crystal. Source: the Alexandria database, functional GGA-PBE.

Cell lengths 4.826, 4.826, 7.012 Å; angles 90.00, 90.00, 90.00 degrees
Space group P4/mmm (No. 123)
One atom of each set of equivalent atoms:
1 Tl 0.000 0.000 0.000 (multiplicity 1)
2 Si 0.000 0.500 0.500 (multiplicity 2)
3 Se 0.000 0.000 0.500 (multiplicity 1)
4 Cl 0.500 0.500 0.000 (multiplicity 1)

The uncorrected formation energy is 2.57 eV per formula unit.